Computed, not measured: Cs2RbTlHg after structural relaxation at the PBE level of DFT.

POSCAR file:
```
Cs2RbTlHg
1.0
7.4263 0.0000 0.0000
0.0000 7.4263 0.0000
0.0000 0.0000 7.2329
Cs Rb Tl Hg
2 1 1 1
Cartesian
0.0000 3.7132 0.0000 Cs
3.7132 0.0000 0.0000 Cs
0.0000 0.0000 3.6164 Rb
0.0000 0.0000 0.0000 Tl
3.7132 3.7132 3.6164 Hg
```

Formation energy from the elements = 0.06 eV per atom
Spin magnetization = 0.0 μB/f.u.
Energy = -1.01 eV per atom